Entry 1:
# CsMg3Mo | the Alexandria database | GGA-PBEsol | relaxed
data_CsMg3Mo
_space_group_name_H-M_alt 'P m -3 m'
_space_group_IT_number 221
_space_group_name_Hall '-P 4 2 3'
_cell_length_a 5.499
_cell_length_b 5.499
_cell_length_c 5.499
_cell_angle_alpha 90.00
_cell_angle_beta 90.00
_cell_angle_gamma 90.00
loop_
_atom_site_label
_atom_site_type_symbol
_atom_site_fract_x
_atom_site_fract_y
_atom_site_fract_z
Cs1 Cs 0.000 0.000 0.000
Mg1 Mg 0.000 0.500 0.500
Mo1 Mo 0.500 0.500 0.500
# - Formation energy: 0.88 eV/atom


Entry 2:
# Cs2Mg2Mo3O12 | the Alexandria database | GGA-PBEsol | relaxed
data_Cs2Mg2Mo3O12
_space_group_name_H-M_alt 'P 21 3'
_space_group_IT_number 198
_space_group_name_Hall 'P 2ac 2ab 3'
_cell_length_a 10.864
_cell_length_b 10.864
_cell_length_c 10.864
_cell_angle_alpha 90.00
_cell_angle_beta 90.00
_cell_angle_gamma 90.00
loop_
_atom_site_label
_atom_site_type_symbol
_atom_site_fract_x
_atom_site_fract_y
_atom_site_fract_z
Cs1 Cs 0.045 0.045 0.045
Cs2 Cs 0.177 0.323 0.677
Mg1 Mg 0.113 0.887 0.387
Mg2 Mg 0.163 0.663 0.837
Mo1 Mo 0.026 0.200 0.377
O1 O 0.017 0.553 0.777
O2 O 0.019 0.044 0.329
O3 O 0.051 0.789 0.235
O4 O 0.104 0.822 0.750
# - E_form (uncorrected): -219.5 kJ per mole of atoms


Computed size of the total moment (μB per formula unit) in order:
2.9; 0.0